TaNbCu: optimized geometry, PBE-GGA.

Output
Uncorrected energy: -7.997 eV/atom
Spin magnetization: 0.00 μB per formula unit
E_form: 2.0 eV/f.u.
E above lowest polymorph: 0.6420 eV per atom

a b c (Å): 7.1616 9.8148 6.2547
angles (deg): 90.00 90.00 90.00
Last column: nearest neighbours and their distance in Å.
Space group Cmce (No. 64)
Symmetry-distinct sites (fractional):
Ta 0.1868 0.0000 0.0000  4 Cu 2.54-2.59, 1 Ta 2.68
Nb 0.0000 0.2061 0.3083  3 Cu 2.44-2.66
Cu 0.0000 0.0643 0.6609  1 Cu 2.38, 2 Nb 2.44-2.61, 4 Ta 2.54-2.59

TaNb3Cu: optimized geometry, PBE-GGA.

Output
Uncorrected energy: -7.578 eV/atom
Spin magnetization: 0.00 μB per formula unit
E_form: 8.3 eV/f.u.
E above lowest polymorph: 0.4906 eV per atom

a b c (Å): 4.8826 4.8826 4.8826
angles (deg): 90.00 90.00 90.00
Last column: nearest neighbours and their distance in Å.
Space group Pm-3m (No. 221)
Symmetry-distinct sites (fractional):
Ta 0.0000 0.0000 0.0000  6 Nb 2.44
Nb 0.0000 0.0000 0.5000  2 Ta 2.44
Cu 0.5000 0.5000 0.5000  12 Nb 3.45

TaNbCu: optimized geometry, PBE-GGA.

Output
Uncorrected energy: -8.621 eV/atom
Spin magnetization: 0.00 μB per formula unit
E_form: 0.2 eV/f.u.
E above lowest polymorph: 0.0173 eV per atom

a b c (Å): 2.7704 2.7704 12.7610
angles (deg): 90.00 90.00 90.00
Last column: nearest neighbours and their distance in Å.
Space group I4mm (No. 107)
Symmetry-distinct sites (fractional):
Ta 0.0000 0.0000 0.0000  4 Ta 2.77, 4 Cu 2.79, 4 Nb 3.06
Nb 0.0000 0.0000 0.3155  4 Nb 2.77, 4 Cu 2.83, 4 Ta 3.06
Cu 0.0000 0.0000 0.6558  4 Cu 2.77, 4 Ta 2.79, 4 Nb 2.83

TaNbCu6Te8: optimized geometry, PBE-GGA.

Output
Uncorrected energy: -4.758 eV/atom
Spin magnetization: 0.00 μB per formula unit

a b c (Å): 8.4862 8.4862 5.9992
angles (deg): 90.00 90.00 90.00
Last column: nearest neighbours and their distance in Å.
Space group P-4m2 (No. 115)
Symmetry-distinct sites (fractional):
Ta 0.0000 0.0000 0.0000  4 Te 2.67
Nb 0.5000 0.5000 0.0000  4 Te 2.67
Cu 0.0000 0.0000 0.5000  4 Te 2.62
Cu 0.2498 0.2498 0.0000  4 Te 2.62
Cu 0.5000 0.5000 0.5000  4 Te 2.62
Te 0.0000 0.2567 0.7431  3 Cu 2.62, 1 Ta 2.67
Te 0.2433 0.5000 0.2568  3 Cu 2.62, 1 Nb 2.67

TaNbTl2Cu: optimized geometry, PBE-GGA.

Output
Uncorrected energy: -4.911 eV/atom
Spin magnetization: 0.35 μB per formula unit
E_form: 6.2 eV/f.u.

a b c (Å): 4.7771 4.7771 4.9093
angles (deg): 90.00 90.00 90.00
Last column: nearest neighbours and their distance in Å.
Space group P4/mmm (No. 123)
Symmetry-distinct sites (fractional):
Ta 0.0000 0.0000 0.0000  2 Cu 2.45
Nb 0.5000 0.5000 0.0000  4 Ta 3.38, 8 Tl 3.42
Tl 0.0000 0.5000 0.5000  2 Cu 2.39
Cu 0.0000 0.0000 0.5000  4 Tl 2.39, 2 Ta 2.45

TaNbVCu: optimized geometry, PBE-GGA.

Output
Uncorrected energy: -8.634 eV/atom
Spin magnetization: 0.00 μB per formula unit
E_form: 0.6 eV/f.u.

a b c (Å): 6.3006 6.3006 6.3006
angles (deg): 90.00 90.00 90.00
Last column: nearest neighbours and their distance in Å.
Space group F-43m (No. 216)
Symmetry-distinct sites (fractional):
Ta 0.0000 0.0000 0.0000  4 Cu 2.73, 4 V 2.73
Nb 0.0000 0.0000 0.5000  4 Cu 2.73, 4 V 2.73
V 0.2500 0.2500 0.2500  4 Ta 2.73, 4 Nb 2.73
Cu 0.2500 0.2500 0.7500  4 Ta 2.73, 4 Nb 2.73